(1)
Ca2TmGa3Pt4: optimized geometry, PBE.

DFT total energy: -5.104 eV/atom
Space-group type: P-4m2 (115)

Cell and atoms, written as CIF:
```
data_Ca2TmGa3Pt4
_chemical_formula_sum 'Ca2 Tm1 Ga3 Pt4'
_cell_length_a 4.203
_cell_length_b 4.203
_cell_length_c 11.496
_cell_angle_alpha 90.00
_cell_angle_beta 90.00
_cell_angle_gamma 90.00
_space_group_name_H-M_alt 'P 1'
_space_group_IT_number 1
loop_
_space_group_symop_operation_xyz
'x,y,z'
loop_
_atom_site_label
_atom_site_fract_x
_atom_site_fract_y
_atom_site_fract_z
Tm1 0.500 0.500 0.500
Ca1 0.000 0.500 0.769
Ca2 0.500 0.000 0.231
Ga1 0.000 0.500 0.128
Ga2 0.000 0.000 0.500
Ga3 0.500 0.000 0.872
Pt1 0.000 0.000 0.000
Pt2 0.500 0.500 0.000
Pt3 0.500 0.000 0.654
Pt4 0.000 0.500 0.346
```


(2)
CaTmGa2Pt2: optimized geometry, PBE.

DFT total energy: -5.094 eV/atom
Space-group type: P-3m1 (164)

Cell and atoms, written as CIF:
```
data_CaTmGa2Pt2
_chemical_formula_sum 'Ca1 Tm1 Ga2 Pt2'
_cell_length_a 4.424
_cell_length_b 4.424
_cell_length_c 7.296
_cell_angle_alpha 90.00
_cell_angle_beta 90.00
_cell_angle_gamma 120.00
_space_group_name_H-M_alt 'P 1'
_space_group_IT_number 1
loop_
_space_group_symop_operation_xyz
'x,y,z'
loop_
_atom_site_label
_atom_site_fract_x
_atom_site_fract_y
_atom_site_fract_z
Pt1 0.667 0.333 0.717
Pt2 0.333 0.667 0.283
Tm1 0.000 0.000 0.500
Ga1 0.333 0.667 0.730
Ga2 0.667 0.333 0.270
Ca1 0.000 0.000 0.000
```


(3)
Ca2ZnGa2Pt5: optimized geometry, PBE.

DFT total energy: -4.913 eV/atom
Space-group type: P4/mbm (127)

Cell and atoms, written as CIF:
```
data_Ca2ZnGa2Pt5
_chemical_formula_sum 'Ca4 Zn2 Ga4 Pt10'
_cell_length_a 3.646
_cell_length_b 9.843
_cell_length_c 9.843
_cell_angle_alpha 90.00
_cell_angle_beta 90.00
_cell_angle_gamma 90.00
_space_group_name_H-M_alt 'P 1'
_space_group_IT_number 1
loop_
_space_group_symop_operation_xyz
'x,y,z'
loop_
_atom_site_label
_atom_site_fract_x
_atom_site_fract_y
_atom_site_fract_z
Pt1 0.500 0.800 0.936
Pt2 0.500 0.000 0.500
Pt3 0.500 0.936 0.200
Pt4 0.500 0.300 0.564
Pt5 0.500 0.064 0.800
Pt6 0.500 0.500 0.000
Pt7 0.500 0.700 0.436
Pt8 0.500 0.564 0.700
Pt9 0.500 0.200 0.064
Pt10 0.500 0.436 0.300
Ga1 0.000 0.874 0.374
Ga2 0.000 0.626 0.874
Ga3 0.000 0.126 0.626
Ga4 0.000 0.374 0.126
Ca1 0.000 0.826 0.674
Ca2 0.000 0.326 0.826
Ca3 0.000 0.174 0.326
Ca4 0.000 0.674 0.174
Zn1 0.000 0.000 0.000
Zn2 0.000 0.500 0.500
```


(4)
CaZnGaPt3: optimized geometry, PBE.

DFT total energy: -4.625 eV/atom
Space-group type: Cmcm (63)

Cell and atoms, written as CIF:
```
data_CaZnGaPt3
_chemical_formula_sum 'Ca2 Zn2 Ga2 Pt6'
_cell_length_a 5.667
_cell_length_b 6.774
_cell_length_c 6.875
_cell_angle_alpha 119.52
_cell_angle_beta 90.00
_cell_angle_gamma 90.00
_space_group_name_H-M_alt 'P 1'
_space_group_IT_number 1
loop_
_space_group_symop_operation_xyz
'x,y,z'
loop_
_atom_site_label
_atom_site_fract_x
_atom_site_fract_y
_atom_site_fract_z
Zn1 0.250 0.942 0.884
Zn2 0.750 0.058 0.116
Ca1 0.750 0.300 0.600
Ca2 0.250 0.700 0.400
Pt1 0.500 0.293 0.000
Pt2 0.250 0.161 0.321
Pt3 0.000 0.707 0.000
Pt4 0.500 0.707 0.000
Pt5 0.750 0.839 0.679
Pt6 0.000 0.293 0.000
Ga1 0.750 0.636 0.273
Ga2 0.250 0.364 0.727
```


(5)
Ca2ZnGa4Pt3: optimized geometry, PBE.

DFT total energy: -4.305 eV/atom
Space-group type: P-4m2 (115)

Cell and atoms, written as CIF:
```
data_Ca2ZnGa4Pt3
_chemical_formula_sum 'Ca2 Zn1 Ga4 Pt3'
_cell_length_a 4.157
_cell_length_b 4.157
_cell_length_c 11.119
_cell_angle_alpha 90.00
_cell_angle_beta 90.00
_cell_angle_gamma 90.00
_space_group_name_H-M_alt 'P 1'
_space_group_IT_number 1
loop_
_space_group_symop_operation_xyz
'x,y,z'
loop_
_atom_site_label
_atom_site_fract_x
_atom_site_fract_y
_atom_site_fract_z
Zn1 0.500 0.500 0.500
Ga1 0.000 0.500 0.362
Ga2 0.000 0.000 0.000
Ga3 0.500 0.000 0.638
Ga4 0.500 0.500 0.000
Ca1 0.500 0.000 0.249
Ca2 0.000 0.500 0.751
Pt1 0.500 0.000 0.864
Pt2 0.000 0.000 0.500
Pt3 0.000 0.500 0.136
```


(6)
CaZnGaPt: optimized geometry, PBE.

DFT total energy: -3.618 eV/atom
Space-group type: F-43m (216)

Cell and atoms, written as CIF:
```
data_CaZnGaPt
_chemical_formula_sum 'Ca1 Zn1 Ga1 Pt1'
_cell_length_a 4.644
_cell_length_b 4.644
_cell_length_c 4.644
_cell_angle_alpha 60.00
_cell_angle_beta 60.00
_cell_angle_gamma 60.00
_space_group_name_H-M_alt 'P 1'
_space_group_IT_number 1
loop_
_space_group_symop_operation_xyz
'x,y,z'
loop_
_atom_site_label
_atom_site_fract_x
_atom_site_fract_y
_atom_site_fract_z
Zn1 0.750 0.750 0.750
Ga1 0.250 0.250 0.250
Ca1 0.500 0.500 0.500
Pt1 0.000 0.000 0.000
```


(7)
Ca2Zn6GaPt: optimized geometry, PBE.

DFT total energy: -2.313 eV/atom
Space-group type: R-3m (166)

Cell and atoms, written as CIF:
```
data_Ca2Zn6GaPt
_chemical_formula_sum 'Ca4 Zn12 Ga2 Pt2'
_cell_length_a 6.352
_cell_length_b 6.352
_cell_length_c 12.174
_cell_angle_alpha 74.88
_cell_angle_beta 74.88
_cell_angle_gamma 60.00
_space_group_name_H-M_alt 'P 1'
_space_group_IT_number 1
loop_
_space_group_symop_operation_xyz
'x,y,z'
loop_
_atom_site_label
_atom_site_fract_x
_atom_site_fract_y
_atom_site_fract_z
Zn1 0.766 0.199 0.836
Zn2 0.655 0.655 0.635
Zn3 0.801 0.234 0.164
Zn4 0.055 0.655 0.635
Zn5 0.801 0.801 0.164
Zn6 0.945 0.345 0.365
Zn7 0.234 0.801 0.164
Zn8 0.199 0.199 0.836
Zn9 0.345 0.945 0.365
Zn10 0.655 0.055 0.635
Zn11 0.345 0.345 0.365
Zn12 0.199 0.766 0.836
Ca1 0.135 0.135 0.594
Ca2 0.307 0.307 0.079
Ca3 0.693 0.693 0.921
Ca4 0.865 0.865 0.406
Ga1 0.577 0.577 0.270
Ga2 0.423 0.423 0.730
Pt1 0.500 0.500 0.500
Pt2 0.000 0.000 0.000
```


(8)
Ca2ZnGaPt6: optimized geometry, PBE.

DFT total energy: -4.651 eV/atom
Space-group type: Fm-3m (225)

Cell and atoms, written as CIF:
```
data_Ca2ZnGaPt6
_chemical_formula_sum 'Ca2 Zn1 Ga1 Pt6'
_cell_length_a 6.655
_cell_length_b 6.655
_cell_length_c 6.655
_cell_angle_alpha 60.00
_cell_angle_beta 60.00
_cell_angle_gamma 90.00
_space_group_name_H-M_alt 'P 1'
_space_group_IT_number 1
loop_
_space_group_symop_operation_xyz
'x,y,z'
loop_
_atom_site_label
_atom_site_fract_x
_atom_site_fract_y
_atom_site_fract_z
Pt1 0.249 0.249 0.501
Pt2 0.751 0.751 0.499
Pt3 0.249 0.751 0.000
Pt4 0.249 0.249 0.000
Pt5 0.751 0.751 0.000
Pt6 0.751 0.249 0.000
Ca1 0.750 0.250 0.500
Ca2 0.250 0.750 0.500
Ga1 0.000 0.000 0.000
Zn1 0.500 0.500 0.000
```


Number 1: magnetic moment 0.00 μB per cell. Number 2: magnetic moment 0.00 μB per cell. Number 3: magnetic moment 0.00 μB per cell. Number 4: magnetic moment 0.00 μB per cell. Number 5: magnetic moment 0.00 μB per cell. Number 6: magnetic moment 0.00 μB per cell. Number 7: magnetic moment 0.00 μB per cell. Number 8: magnetic moment 0.00 μB per cell.